# 1
KTm4Ge3O12 | PBE | optimized geometry

Properties
* theoretical density: 7.04 g/cm³
* uncorrected formation energy: -2428 meV/atom
* total DFT energy (no corrections): -281.784 eV for the cell shown

CIF file:
```
data_KTm4Ge3O12
_symmetry_space_group_name_H-M 'I m -3'
_symmetry_Int_Tables_number 204
_symmetry_space_group_name_Hall '-I 2 2 3'
_cell_length_a 8.0966
_cell_length_b 8.0966
_cell_length_c 8.0966
_cell_angle_alpha 90.00
_cell_angle_beta 90.00
_cell_angle_gamma 90.00
loop_
_atom_site_label
_atom_site_type_symbol
_atom_site_fract_x
_atom_site_fract_y
_atom_site_fract_z
_atom_site_occupancy
K1 K 0.0000 0.0000 0.0000 1
Tm1 Tm 0.2500 0.2500 0.2500 1
Ge1 Ge 0.0000 0.0000 0.5000 1
O1 O 0.0000 0.3322 0.1621 1
```

***

# 2
K2Tm2GeO6 | PBE | optimized geometry

Properties
* theoretical density: 5.56 g/cm³
* uncorrected formation energy: -2478 meV/atom
* total DFT energy (no corrections): -145.536 eV for the cell shown

CIF file:
```
data_K2Tm2GeO6
_symmetry_space_group_name_H-M 'C 1 2/m 1'
_symmetry_Int_Tables_number 12
_cell_length_a 5.6589
_cell_length_b 9.7224
_cell_length_c 6.5875
_cell_angle_alpha 90.00
_cell_angle_beta 105.36
_cell_angle_gamma 90.00
loop_
_symmetry_equiv_pos_as_xyz
'x,y,z'
'-x,-y,-z'
'-x,y,-z'
'x,-y,z'
'x+1/2,y+1/2,z'
'-x+1/2,-y+1/2,-z'
'-x+1/2,y+1/2,-z'
'x+1/2,-y+1/2,z'
loop_
_atom_site_label
_atom_site_type_symbol
_atom_site_fract_x
_atom_site_fract_y
_atom_site_fract_z
_atom_site_occupancy
K1 K 0.0000 0.1629 0.0000 1
Tm1 Tm 0.0000 0.3343 0.5000 1
Ge1 Ge 0.0000 0.0000 0.5000 1
O1 O 0.2009 0.1522 0.6681 1
O2 O 0.2390 0.0000 0.3336 1
```

***

Copy entry 1 word for word.
KTm4Ge3O12 | PBE | optimized geometry

Properties
* theoretical density: 7.04 g/cm³
* uncorrected formation energy: -2428 meV/atom
* total DFT energy (no corrections): -281.784 eV for the cell shown

CIF file:
```
data_KTm4Ge3O12
_symmetry_space_group_name_H-M 'I m -3'
_symmetry_Int_Tables_number 204
_symmetry_space_group_name_Hall '-I 2 2 3'
_cell_length_a 8.0966
_cell_length_b 8.0966
_cell_length_c 8.0966
_cell_angle_alpha 90.00
_cell_angle_beta 90.00
_cell_angle_gamma 90.00
loop_
_atom_site_label
_atom_site_type_symbol
_atom_site_fract_x
_atom_site_fract_y
_atom_site_fract_z
_atom_site_occupancy
K1 K 0.0000 0.0000 0.0000 1
Tm1 Tm 0.2500 0.2500 0.2500 1
Ge1 Ge 0.0000 0.0000 0.5000 1
O1 O 0.0000 0.3322 0.1621 1
```